Version a
## MnCrN2 (GGA-PBE)

Data for a relaxed MnCrN2 crystal.

a = 3.5611 Å, b = 3.5611 Å, c = 3.5611 Å
α = 60.00°, β = 60.00°, γ = 60.00°
Last column: nearest neighbours and their distance in Å.
Element x y z (fractional)
Mn: 0.5000 0.5000 0.5000  8 N 2.18
N: 0.7500 0.7500 0.7500  4 Mn 2.18, 4 Cr 2.18
N: 0.2500 0.2500 0.2500  4 Mn 2.18, 4 Cr 2.18
Cr: 0.0000 0.0000 0.0000  8 N 2.18

Properties
Spin magnetization (Bohr magnetons per cell): 2.8


Version b
## MnCrN2 (GGA-PBE)

Data for a relaxed MnCrN2 crystal.

a = 2.7451 Å, b = 5.3277 Å, c = 15.2644 Å
α = 17.29°, β = 90.07°, γ = 75.15°
Last column: nearest neighbours and their distance in Å.
Element x y z (fractional)
Cr: 0.9987 0.7516 0.2498  6 N 2.01-2.03
N: 0.0022 0.7467 0.6661  3 Cr 2.01, 3 Mn 2.06
N: 0.9973 0.7536 0.4992  3 Mn 2.02-2.03, 3 Cr 2.03
Mn: 0.0018 0.7479 0.0850  6 N 2.02-2.06

Properties
Spin magnetization (Bohr magnetons per cell): 2.3


Version c
## MnCrN2 (GGA-PBE)

Data for a relaxed MnCrN2 crystal.

a = 4.9534 Å, b = 5.1779 Å, c = 6.1090 Å
α = 90.00°, β = 90.00°, γ = 90.00°
Last column: nearest neighbours and their distance in Å.
Element x y z (fractional)
N: 0.9077 0.9173 0.8932  2 Mn 1.85-1.88, 2 Cr 1.87-1.88
N: 0.9077 0.4173 0.6068  2 Mn 1.85-1.88, 2 Cr 1.87-1.88
Mn: 0.4478 0.4369 0.1140  4 N 1.85-1.93
Mn: 0.4478 0.9369 0.3860  4 N 1.85-1.93
Cr: 0.5327 0.4024 0.6410  4 N 1.87-1.91
N: 0.3339 0.5861 0.8547  2 Mn 1.85-1.93, 2 Cr 1.89-1.91
N: 0.8339 0.4139 0.1453  2 Mn 1.85-1.93, 2 Cr 1.89-1.91
Mn: 0.9478 0.5631 0.8860  4 N 1.85-1.93
N: 0.4077 0.0827 0.1068  2 Mn 1.85-1.88, 2 Cr 1.87-1.88
Cr: 0.0327 0.0976 0.1410  4 N 1.87-1.91
N: 0.8339 0.9139 0.3547  2 Mn 1.85-1.93, 2 Cr 1.89-1.91
Mn: 0.9478 0.0631 0.6140  4 N 1.85-1.93
N: 0.4077 0.5827 0.3932  2 Mn 1.85-1.88, 2 Cr 1.87-1.88
Cr: 0.0327 0.5976 0.3590  4 N 1.87-1.91
Cr: 0.5327 0.9024 0.8590  4 N 1.87-1.91
N: 0.3339 0.0861 0.6453  2 Mn 1.85-1.93, 2 Cr 1.89-1.91

Properties
Spin magnetization (Bohr magnetons per cell): 1.9


The computed energies, referenced to the most stable structure and given in meV/atom, are version a 597; version b 0; version c 52.


Version a
## RbMnCr2N (GGA-PBE)

Data for a relaxed RbMnCr2N crystal.

a = 5.2267 Å, b = 3.6756 Å, c = 5.2267 Å
α = 90.00°, β = 90.00°, γ = 90.00°
Last column: nearest neighbours and their distance in Å.
Element x y z (fractional)
Rb: 0.5000 0.5000 0.5000  8 Cr 3.19
N: 0.0000 0.5000 0.0000  2 Mn 1.84
Cr: 0.0000 0.0000 0.5000  2 Mn 2.61
Cr: 0.5000 0.0000 0.0000  2 Mn 2.61
Mn: 0.0000 0.0000 0.0000  2 N 1.84

Properties
Spin magnetization (Bohr magnetons per cell): 7.6


Version b
## RbMnCr2N (GGA-PBE)

Data for a relaxed RbMnCr2N crystal.

a = 5.4716 Å, b = 4.3768 Å, c = 5.4716 Å
α = 90.00°, β = 90.00°, γ = 90.00°
Last column: nearest neighbours and their distance in Å.
Element x y z (fractional)
Cr: 0.5000 0.0000 0.0000  2 Rb 2.74
Cr: 0.0000 0.0000 0.5000  2 Rb 2.74
N: 0.0000 0.5000 0.0000  2 Rb 2.19
Mn: 0.5000 0.5000 0.5000  8 Cr 3.50, 4 N 3.87
Rb: 0.0000 0.0000 0.0000  2 N 2.19

Properties
Spin magnetization (Bohr magnetons per cell): 5.3


The computed energies, referenced to the most stable structure and given in meV/atom, are version a 0; version b 1557.


Version a
## MnCrSe2N (GGA-PBE)

Data for a relaxed MnCrSe2N crystal.

a = 5.0045 Å, b = 5.0045 Å, c = 3.5269 Å
α = 90.00°, β = 90.00°, γ = 90.00°
Last column: nearest neighbours and their distance in Å.
Element x y z (fractional)
Se: 0.5000 0.0000 0.0000  2 Cr 2.50
N: 0.0000 0.0000 0.5000  2 Cr 1.76
Mn: 0.5000 0.5000 0.5000  8 Se 3.06
Se: 0.0000 0.5000 0.0000  2 Cr 2.50
Cr: 0.0000 0.0000 0.0000  2 N 1.76

Properties
Spin magnetization (Bohr magnetons per cell): 6.1


Version b
## MnCrSe2N (GGA-PBE)

Data for a relaxed MnCrSe2N crystal.

a = 4.8978 Å, b = 4.8978 Å, c = 3.4361 Å
α = 90.00°, β = 90.00°, γ = 90.00°
Last column: nearest neighbours and their distance in Å.
Element x y z (fractional)
Se: 0.5000 0.0000 0.0000  2 Mn 2.45
Cr: 0.5000 0.5000 0.5000  8 Se 2.99
N: 0.0000 0.0000 0.5000  2 Mn 1.72
Mn: 0.0000 0.0000 0.0000  2 N 1.72
Se: 0.0000 0.5000 0.0000  2 Mn 2.45

Properties
Spin magnetization (Bohr magnetons per cell): 4.0


The computed energies, referenced to the most stable structure and given in meV/atom, are version a 0; version b 106.


Version a
## MnCrSeN2 (GGA-PBE)

Data for a relaxed MnCrSeN2 crystal.

a = 3.5755 Å, b = 3.5755 Å, c = 5.2467 Å
α = 90.00°, β = 90.00°, γ = 90.00°
Last column: nearest neighbours and their distance in Å.
Element x y z (fractional)
Mn: 0.0000 0.0000 0.0000  4 N 1.79
Se: 0.0000 0.0000 0.5000  4 Cr 2.53, 2 Mn 2.62
Cr: 0.5000 0.5000 0.5000  4 Se 2.53
N: 0.5000 0.0000 0.0000  2 Mn 1.79
N: 0.0000 0.5000 0.0000  2 Mn 1.79

Properties
Spin magnetization (Bohr magnetons per cell): 0.6


Version b
## MnCrSeN2 (GGA-PBE)

Data for a relaxed MnCrSeN2 crystal.

a = 3.6718 Å, b = 3.6718 Å, c = 5.2534 Å
α = 90.00°, β = 90.00°, γ = 90.00°
Last column: nearest neighbours and their distance in Å.
Element x y z (fractional)
Mn: 0.5000 0.5000 0.5000  4 Se 2.60
Se: 0.0000 0.0000 0.5000  4 Mn 2.60, 2 Cr 2.63
N: 0.5000 0.0000 0.0000  2 Cr 1.84
Cr: 0.0000 0.0000 0.0000  4 N 1.84
N: 0.0000 0.5000 0.0000  2 Cr 1.84

Properties
Spin magnetization (Bohr magnetons per cell): 4.3


The computed energies, referenced to the most stable structure and given in meV/atom, are version a 520; version b 0.


Version a
## NaMn2Cr (GGA-PBE)

Data for a relaxed NaMn2Cr crystal.

a = 4.3524 Å, b = 4.3524 Å, c = 8.3312 Å
α = 74.86°, β = 74.86°, γ = 90.00°
Last column: nearest neighbours and their distance in Å.
Element x y z (fractional)
Cr: 0.0000 0.0000 0.0000  4 Mn 2.22
Mn: 0.8747 0.1250 0.2500  2 Mn 2.18, 2 Cr 2.22
Na: 0.2500 0.7500 0.5000  4 Cr 3.08, 8 Mn 3.11
Na: 0.5000 0.5000 0.0000  4 Cr 3.08, 8 Mn 3.11
Mn: 0.3750 0.1253 0.7500  2 Mn 2.18, 2 Cr 2.22
Mn: 0.8750 0.1247 0.7500  2 Mn 2.18, 2 Cr 2.22
Mn: 0.8753 0.6250 0.2500  2 Mn 2.18, 2 Cr 2.22
Cr: 0.7500 0.2500 0.5000  4 Mn 2.22

Properties
Spin magnetization (Bohr magnetons per cell): 0.0


Version b
## NaMn2Cr (GGA-PBE)

Data for a relaxed NaMn2Cr crystal.

a = 4.4903 Å, b = 4.4903 Å, c = 4.4903 Å
α = 60.00°, β = 60.00°, γ = 60.00°
Last column: nearest neighbours and their distance in Å.
Element x y z (fractional)
Mn: 0.7500 0.7500 0.7500  4 Cr 2.75, 4 Na 2.75
Na: 0.0000 0.0000 0.0000  8 Mn 2.75
Mn: 0.2500 0.2500 0.2500  4 Cr 2.75, 4 Na 2.75
Cr: 0.5000 0.5000 0.5000  8 Mn 2.75

Properties
Spin magnetization (Bohr magnetons per cell): 3.6


The computed energies, referenced to the most stable structure and given in meV/atom, are version a 790; version b 0.